The following is a PBE-GGA calculation of a relaxed Pr5Nd8In crystal, from Alexandria via LeMat-Bulk.

Lattice parameters (Å, degrees): 15.802 8.634 8.719 90.00 122.68 90.00
Space group C2 (No. 5)
Symmetry-distinct sites (fractional):
Pr1 0.000 0.000 0.000 x2
Pr2 0.048 0.341 0.271 x4
Pr3 0.099 0.672 0.957 x4
Nd1 0.124 0.045 0.682 x4
Nd2 0.174 0.450 0.715 x4
Nd3 0.184 0.743 0.424 x4
Nd4 0.191 0.270 0.074 x4
In1 0.000 0.713 0.500 x2

Calculated values
Volume = 1001 Å³/cell
Total DFT energy (no corrections) = -4.55 eV per atom
Fermi-level density of states = 20.32 states/eV/f.u.
ΔH_f (0 K) = 0.081 eV/atom